Compound: LiY2CuH
Source: the Alexandria database
Functional: PBE-GGA
Structure: optimized geometry

abc: 4.903 3.705 4.903
angles: 90.00 90.00 90.00
Fractional positions:
H1 0.000 0.000 0.000
Y1 0.500 0.000 0.000
Y2 0.000 0.000 0.500
Li1 0.000 0.500 0.000
Cu1 0.500 0.500 0.500

Its space group is P4/mmm. Its energy above the most stable polymorph in this dataset is 0 meV/atom. The energy comes out at -4.690 eV/atom. As for the size of the total moment: 0.001 Bohr magnetons per cell.

---

Compound: Ho2PuInO8
Source: the Alexandria database
Functional: PBE-GGA
Structure: optimized geometry

abc: 5.011 5.011 6.938
angles: 90.00 90.00 92.76
Each line ends with the local moment (μB).
Fractional positions:
O1 0.814 0.187 0.220  -0.06
O2 0.186 0.813 0.780  -0.06
O3 0.297 0.296 0.500  -0.01
O4 0.290 0.289 0.000  -0.06
O5 0.186 0.813 0.220  -0.06
O6 0.710 0.711 0.000  -0.06
O7 0.814 0.187 0.780  -0.06
O8 0.703 0.704 0.500  -0.01
Pu1 0.000 0.000 0.000  1.42
Ho1 0.500 0.500 0.258  -0.01
Ho2 0.500 0.500 0.742  -0.01
In1 0.000 0.000 0.500  0.00

Its space group is Cmmm. The calculation puts the energy relative to the elements, uncorrected at -2.656 eV per atom. The energy comes out at -8.147 eV/atom. As for the size of the total moment: 1.000 Bohr magnetons per cell.

---

Compound: MgTlCd2Sn2
Source: the Alexandria database
Functional: PBE-GGA
Structure: optimized geometry

abc: 5.273 5.273 6.422
angles: 90.00 90.00 120.00
Fractional positions:
Tl1 0.000 0.000 0.000
Mg1 0.000 0.000 0.500
Sn1 0.667 0.333 0.696
Sn2 0.333 0.667 0.304
Cd1 0.333 0.667 0.791
Cd2 0.667 0.333 0.209

Its space group is P-3m1. The formation energy comes out at 0.031 eV per atom. The energy comes out at -2.269 eV/atom. As for the size of the total moment: 0.000 Bohr magnetons per cell.